Entry 1:
Below is DyHoZn after structural relaxation, with properties calculated at the GGA-PBE level.

The structure belongs to space group Pnma (No. 62); the cell edges are 9.825, 4.914 and 7.017 Å and the angles 90.00°, 90.00° and 90.00°. The distinct sites, in fractional coordinates, are Dy at (0.126, 0.250, 0.001), Ho at (0.124, 0.250, 0.501) and Zn at (0.125, 0.750, 0.750).

Its offset from the most stable computed form is 233 meV/atom. The value obtained for the total moment is 0.00 μB/f.u. The calculation puts the formation energy from the elements at 20 meV/atom. The density of states at the Fermi level is 1.2916 states/eV per atom.

Entry 2:
Below is DyHo3Zn8 after structural relaxation, with properties calculated at the GGA-PBE level.

The structure belongs to space group R3m (No. 160, hexagonal axes); the cell edges are 5.4576, 5.4576 and 26.5885 Å and the angles 90.00°, 90.00° and 120.00°. The distinct sites, in fractional coordinates, are Dy at (0.0000, 0.0000, 0.0000), Ho at (0.0000, 0.0000, 0.3752), Ho at (0.0000, 0.0000, 0.4998), Ho at (0.0000, 0.0000, 0.8753), Zn at (0.0000, 0.0000, 0.1876), Zn at (0.0000, 0.0000, 0.6876), Zn at (0.0002, 0.5001, 0.4377) and Zn at (0.9997, 0.4998, 0.9374).

Its offset from the most stable computed form is 0 meV/atom. The value obtained for the total moment is 0.00 μB/f.u. The calculation puts the formation energy from the elements at -333 meV/atom. The density of states at the Fermi level is 0.5462 states/eV per atom.

Entry 3:
Below is Dy4HoZn4 after structural relaxation, with properties calculated at the GGA-PBE level.

The structure belongs to space group P4_2/n (No. 86, origin choice 2); the cell edges are 8.739, 8.739 and 6.110 Å and the angles 90.00°, 90.00° and 90.00°. The distinct sites, in fractional coordinates, are Dy at (0.035, 0.658, 0.148), Ho at (0.250, 0.250, 0.250) and Zn at (0.026, 0.631, 0.618).

The value obtained for the total moment is 0.00 μB/f.u. The calculation puts the formation energy from the elements at -68 meV/atom. The density of states at the Fermi level is 1.0979 states/eV per atom.